[1]
An optimized crystal structure of Cs2TePdI6. Source: the Alexandria database, functional PBE-GGA.

Computed properties:
* symmetry: I4/mmm
* uncorrected energy: -2.655 eV/atom
* raw formation energy: -721 meV per atom
* DOS(E_F): 2.4 states/eV/f.u.
* density: 5.0 Mg/m³

Geometry as extended XYZ:
```
10
Lattice="-4.1961 4.1961 5.9567 4.1961 -4.1961 5.9567 4.1961 4.1961 -5.9567" Properties=species:S:1:pos:R:3 pbc="T T T"
Cs 4.1961 0.0000 2.9783
Cs 0.0000 4.1961 2.9783
Te 0.0000 0.0000 0.0000
Pd 0.0000 0.0000 5.9567
I 0.0000 0.0000 3.1090
I 2.2035 2.2035 0.0000
I 1.9926 -1.9926 5.9567
I -1.9926 1.9926 5.9567
I 1.9926 1.9926 5.9567
I 0.0000 0.0000 8.8044
```

---

[2]
An optimized crystal structure of Cs2TlPdI6. Source: the Alexandria database, functional PBE-GGA.

Computed properties:
* symmetry: P-3m1
* uncorrected energy: -2.644 eV/atom
* raw formation energy: -788 meV per atom
* DOS(E_F): 4.4 states/eV/f.u.
* density: 4.5 Mg/m³

Geometry as extended XYZ:
```
10
Lattice="8.1468 0.0000 0.0000 -4.0734 7.0554 0.0000 0.0000 0.0000 8.5066" Properties=species:S:1:pos:R:3 pbc="T T T"
Cs 0.0000 4.7036 2.7536
Cs 4.0734 2.3518 5.7530
Tl 0.0000 0.0000 0.0000
Pd 0.0000 0.0000 4.2533
I 0.0000 2.2965 5.8674
I -2.0846 5.9071 5.8674
I 1.9888 1.1483 2.6392
I 2.0846 5.9071 5.8674
I 6.1580 1.1483 2.6392
I 4.0734 4.7588 2.6392
```

---

[3]
An optimized crystal structure of Cs2TlPdI. Source: the Alexandria database, functional PBE-GGA.

Computed properties:
* symmetry: P4/mmm
* uncorrected energy: -2.712 eV/atom
* raw formation energy: -548 meV per atom
* DOS(E_F): 1.1 states/eV/f.u.
* density: 4.9 Mg/m³

Geometry as extended XYZ:
```
5
Lattice="6.7148 0.0000 0.0000 0.0000 6.7148 0.0000 0.0000 0.0000 5.3300" Properties=species:S:1:pos:R:3 pbc="T T T"
Cs 0.0000 3.3574 0.0000
Cs 3.3574 0.0000 0.0000
Tl 0.0000 0.0000 2.6650
Pd 0.0000 0.0000 0.0000
I 3.3574 3.3574 2.6650
```

---

[4]
An optimized crystal structure of Cs2TmPdI6. Source: the Alexandria database, functional PBE-GGA.

Computed properties:
* symmetry: R-3m
* uncorrected energy: -3.206 eV/atom
* raw formation energy: -1139 meV per atom
* DOS(E_F): 5.5 states/eV/f.u.
* density: 5.0 Mg/m³

Geometry as extended XYZ:
```
20
Lattice="4.2245 2.4390 13.8815 -4.2245 2.4390 13.8815 0.0000 -4.8780 13.8815" Properties=species:S:1:pos:R:3 pbc="T T T"
Cs 0.0000 0.0000 5.0150
Cs 0.0000 0.0000 12.3147
Cs 0.0000 0.0000 29.3299
Cs 0.0000 0.0000 36.6296
Tm 0.0000 0.0000 17.3719
Tm 0.0000 0.0000 24.2727
Pd 0.0000 0.0000 0.0000
Pd 0.0000 0.0000 20.8223
I -2.0951 -1.2096 19.1367
I 0.0000 -2.4525 15.6170
I -2.1239 1.2263 15.6170
I -2.1239 -1.2263 26.0276
I 0.0000 -2.4192 22.5079
I -2.0951 1.2096 22.5079
I 2.0951 -1.2096 19.1367
I 0.0000 2.4192 19.1367
I 2.1239 1.2263 15.6170
I 2.1239 -1.2263 26.0276
I 0.0000 2.4525 26.0276
I 2.0951 1.2096 22.5079
```

---

[5]
An optimized crystal structure of CsUPdI6. Source: the Alexandria database, functional PBE-GGA.

Computed properties:
* symmetry: P312
* uncorrected energy: -3.724 eV/atom
* raw formation energy: -764 meV per atom
* DOS(E_F): 9.8 states/eV/f.u.
* density: 4.6 Mg/m³

Geometry as extended XYZ:
```
9
Lattice="7.5614 0.0000 0.0000 -3.7807 6.5484 0.0000 0.0000 0.0000 9.0639" Properties=species:S:1:pos:R:3 pbc="T T T"
Cs 0.0000 0.0000 0.0000
U 0.0000 4.3656 4.5320
Pd 3.7807 2.1828 4.5320
I 2.6994 0.0610 6.2588
I 1.4025 2.3073 2.8052
I 4.8620 0.0610 2.8052
I 2.4838 4.1801 6.2588
I 6.1589 2.3073 6.2588
I 5.0776 4.1801 2.8052
```

---

[6]
An optimized crystal structure of Cs2VPdI6. Source: the Alexandria database, functional PBE-GGA.

Computed properties:
* symmetry: I4/mmm
* uncorrected energy: -3.258 eV/atom
* raw formation energy: -726 meV per atom
* DOS(E_F): 19.6 states/eV/f.u.
* density: 5.2 Mg/m³

Geometry as extended XYZ:
```
10
Lattice="-4.0538 4.0538 5.7820 4.0538 -4.0538 5.7820 4.0538 4.0538 -5.7820" Properties=species:S:1:pos:R:3 pbc="T T T"
Cs 4.0538 0.0000 2.8910
Cs 0.0000 4.0538 2.8910
V 0.0000 0.0000 0.0000
Pd 0.0000 0.0000 5.7820
I 0.0000 0.0000 2.8198
I 2.0025 2.0025 0.0000
I 2.0513 -2.0513 5.7820
I -2.0513 2.0513 5.7820
I 2.0513 2.0513 5.7820
I 0.0000 0.0000 8.7441
```

---

[7]
An optimized crystal structure of Cs2YPdI6. Source: the Alexandria database, functional PBE-GGA.

Computed properties:
* symmetry: R-3m
* uncorrected energy: -3.417 eV/atom
* raw formation energy: -1151 meV per atom
* DOS(E_F): 5.5 states/eV/f.u.
* density: 4.7 Mg/m³

Geometry as extended XYZ:
```
20
Lattice="4.2408 2.4484 13.9452 -4.2408 2.4484 13.9452 0.0000 -4.8969 13.9452" Properties=species:S:1:pos:R:3 pbc="T T T"
Cs 0.0000 0.0000 5.0437
Cs 0.0000 0.0000 12.3761
Cs 0.0000 0.0000 29.4593
Cs 0.0000 0.0000 36.7917
Y 0.0000 0.0000 17.4555
Y 0.0000 0.0000 24.3799
Pd 0.0000 0.0000 0.0000
Pd 0.0000 0.0000 20.9177
I -2.1134 -1.2202 19.2475
I 0.0000 -2.4804 15.6794
I -2.1481 1.2402 15.6794
I -2.1481 -1.2402 26.1560
I 0.0000 -2.4403 22.5880
I -2.1134 1.2202 22.5880
I 2.1134 -1.2202 19.2474
I 0.0000 2.4403 19.2474
I 2.1481 1.2402 15.6794
I 2.1481 -1.2402 26.1560
I 0.0000 2.4804 26.1560
I 2.1134 1.2202 22.5880
```

---

[8]
An optimized crystal structure of Cs2YPdI6. Source: the Alexandria database, functional PBE-GGA.

Computed properties:
* symmetry: I4/mmm
* uncorrected energy: -3.393 eV/atom
* raw formation energy: -1127 meV per atom
* DOS(E_F): 4.3 states/eV/f.u.
* density: 4.7 Mg/m³

Geometry as extended XYZ:
```
10
Lattice="-4.2463 4.2463 5.9494 4.2463 -4.2463 5.9494 4.2463 4.2463 -5.9494" Properties=species:S:1:pos:R:3 pbc="T T T"
Cs 4.2463 0.0000 2.9747
Cs 0.0000 4.2463 2.9747
Y 0.0000 0.0000 0.0000
Pd 0.0000 0.0000 5.9494
I 2.1490 2.1490 0.0000
I 2.0973 -2.0973 5.9494
I 0.0000 0.0000 3.0422
I 0.0000 0.0000 8.8567
I -2.0973 2.0973 5.9494
I 2.0973 2.0973 5.9494
```

---

[9]
An optimized crystal structure of Cs2ZnPdI6. Source: the Alexandria database, functional PBE-GGA.

Computed properties:
* symmetry: I4/mmm
* uncorrected energy: -2.513 eV/atom
* raw formation energy: -766 meV per atom
* DOS(E_F): 2.2 states/eV/f.u.
* density: 5.1 Mg/m³

Geometry as extended XYZ:
```
10
Lattice="-4.0438 4.0438 5.9592 4.0438 -4.0438 5.9592 4.0438 4.0438 -5.9592" Properties=species:S:1:pos:R:3 pbc="T T T"
Cs 4.0438 0.0000 2.9796
Cs 0.0000 4.0438 2.9796
Zn 0.0000 0.0000 0.0000
Pd 0.0000 0.0000 5.9592
I 1.9916 1.9916 0.0000
I 2.0522 -2.0522 5.9592
I 0.0000 0.0000 3.2373
I 0.0000 0.0000 8.6810
I -2.0522 2.0522 5.9592
I 2.0522 2.0522 5.9592
```

---

[10]
An optimized crystal structure of CsPmI. Source: the Alexandria database, functional PBE-GGA.

Computed properties:
* symmetry: Amm2
* uncorrected energy: -2.798 eV/atom
* raw formation energy: -413 meV per atom
* DOS(E_F): 3.2 states/eV/f.u.
* density: 4.9 Mg/m³

Geometry as extended XYZ:
```
12
Lattice="17.8418 0.0000 0.0000 0.0000 4.2565 0.0000 0.0000 0.0000 7.2371" Properties=species:S:1:pos:R:3 pbc="T T T"
Cs 2.7877 0.0000 0.0000
Cs 2.7877 2.1283 3.6186
Cs 15.0541 0.0000 0.0000
Cs 15.0541 2.1283 3.6186
Pm 6.7758 0.0000 3.2289
Pm 6.7758 2.1283 6.8474
Pm 11.0660 0.0000 3.2289
Pm 11.0660 2.1283 6.8474
I 0.0000 0.0000 2.4489
I 0.0000 2.1283 6.0674
I 8.9209 0.0000 0.7968
I 8.9209 2.1283 4.4154
```

---

[11]
An optimized crystal structure of Cs2PmI4. Source: the Alexandria database, functional PBE-GGA.

Computed properties:
* symmetry: Pbam
* uncorrected energy: -3.164 eV/atom
* raw formation energy: -1355 meV per atom
* DOS(E_F): 2.7 states/eV/f.u.
* density: 4.3 Mg/m³

Geometry as extended XYZ:
```
14
Lattice="9.6929 0.0000 0.0000 0.0000 16.4014 0.0000 0.0000 0.0000 4.4956" Properties=species:S:1:pos:R:3 pbc="T T T"
Cs 0.7733 2.7173 0.0000
Cs 4.0731 10.9180 0.0000
Cs 5.6198 5.4833 0.0000
Cs 8.9195 13.6840 0.0000
Pm 0.0000 8.2007 2.2478
Pm 4.8464 0.0000 2.2478
I 1.0322 11.1998 2.2478
I 2.2074 7.4585 0.0000
I 2.6390 15.6591 0.0000
I 3.8142 2.9991 2.2478
I 5.8786 13.4022 2.2478
I 7.0539 0.7422 0.0000
I 7.4854 8.9429 0.0000
I 8.6607 5.2016 2.2478
```

---

[12]
An optimized crystal structure of Cs2Pm3I10. Source: the Alexandria database, functional PBE-GGA.

Computed properties:
* symmetry: C2/m
* uncorrected energy: -3.494 eV/atom
* raw formation energy: -1396 meV per atom
* DOS(E_F): 4.9 states/eV/f.u.
* density: 4.5 Mg/m³

Geometry as extended XYZ:
```
30
Lattice="14.7079 -4.3726 0.0000 14.7079 4.3726 0.0000 -4.3949 0.0000 11.3186" Properties=species:S:1:pos:R:3 pbc="T T T"
Cs 2.6533 0.0000 2.6089
Cs 3.2476 0.0000 9.5167
Cs 21.7734 0.0000 1.8019
Cs 22.3677 0.0000 8.7097
Pm 12.5105 2.3364 5.6593
Pm 7.3573 0.0000 5.2805
Pm 12.3404 0.0000 0.3034
Pm 12.6806 0.0000 11.0152
Pm 17.6637 0.0000 6.0381
Pm 12.5105 -2.3364 5.6593
I 5.1565 2.1863 5.6593
I -2.6807 0.0000 7.9446
I 10.3190 2.2248 0.3975
I 9.4054 2.3187 5.0846
I 14.7079 2.1098 0.0000
I 6.8179 0.0000 2.3199
I 15.6156 2.3187 6.2340
I 7.6697 0.0000 8.4588
I 14.7020 2.2248 10.9211
I 12.8862 0.0000 3.4506
I 5.1565 -2.1863 5.6593
I 12.1348 0.0000 7.8680
I 10.3190 -2.2248 0.3975
I 17.3513 0.0000 2.8598
I 9.4054 -2.3187 5.0846
I 18.2031 0.0000 8.9987
I 14.7079 -2.1098 0.0000
I 15.6156 -2.3187 6.2340
I 14.7020 -2.2248 10.9211
I 27.7017 0.0000 3.3740
```